1.
Entry from the Alexandria database: an optimized crystal structure of CdPbO2 (PBE-GGA).

Unit cell a=3.7547 b=3.7547 c=19.1896 alpha=90.00 beta=90.00 gamma=120.00
With the nearest neighbours (Å) after each atom.
Fractional coordinates of all 12 atoms:
Cd 0.0000 0.0000 0.0000  4 O 2.26
Cd 0.3333 0.6667 0.6667  4 O 2.26
Cd 0.6667 0.3333 0.3333  4 O 2.26
Pb 0.0000 0.0000 0.5024  4 O 2.38-2.52
Pb 0.3333 0.6667 0.1690  4 O 2.38-2.52
Pb 0.6667 0.3333 0.8357  4 O 2.38-2.52
O 0.0000 0.0000 0.1176  1 Cd 2.26, 3 Pb 2.38
O 0.0000 0.0000 0.6337  3 Cd 2.26, 1 Pb 2.52
O 0.3333 0.6667 0.3004  3 Cd 2.26, 1 Pb 2.52
O 0.3333 0.6667 0.7842  1 Cd 2.26, 3 Pb 2.38
O 0.6667 0.3333 0.4509  1 Cd 2.26, 3 Pb 2.38
O 0.6667 0.3333 0.9670  3 Cd 2.26, 1 Pb 2.52

## Properties
* calculated volume: 19.52 Å³/atom
* SG: R3m
* uncorrected formation energy: -0.947 eV per atom
* excess energy over the best structure of this formula in the dataset: 25 meV per atom
* calculated density: 7.476 Mg/m³

2.
Entry from the Alexandria database: an optimized crystal structure of CdPbO2 (PBE-GGA).

Unit cell a=3.7539 b=3.7539 c=19.8508 alpha=90.00 beta=90.00 gamma=120.00
With the nearest neighbours (Å) after each atom.
Fractional coordinates of all 12 atoms:
Cd 0.0000 0.0000 0.0000  2 O 1.99
Cd 0.3333 0.6667 0.6667  2 O 1.99
Cd 0.6667 0.3333 0.3333  2 O 1.99
Pb 0.0000 0.0000 0.5000  6 O 2.54
Pb 0.3333 0.6667 0.1667  6 O 2.54
Pb 0.6667 0.3333 0.8333  6 O 2.54
O 0.0000 0.0000 0.1001  1 Cd 1.99
O 0.0000 0.0000 0.8999  1 Cd 1.99
O 0.3333 0.6667 0.5666  1 Cd 1.99
O 0.3333 0.6667 0.7667  1 Cd 1.99
O 0.6667 0.3333 0.2333  1 Cd 1.99
O 0.6667 0.3333 0.4334  1 Cd 1.99

## Properties
* calculated volume: 20.19 Å³/atom
* SG: R-3m
* uncorrected formation energy: -0.778 eV per atom
* N(E_F): 0.0 states/eV/f.u.
* excess energy over the best structure of this formula in the dataset: 194 meV per atom
* calculated density: 7.230 Mg/m³